## Hg3SbSe2F6 (PBE)

Data for crystalline Hg3SbSe2F6 at its relaxed geometry.

## Properties
- DOS at the Fermi energy: 0.3389 states/eV per atom
- Crystal system: monoclinic
- Formation energy from raw total energies: -1.463 eV/atom

a = 15.0601 Å, b = 7.4847 Å, c = 5.1351 Å
α = 90.00°, β = 104.40°, γ = 90.00°
Space group C2/m (No. 12)
Symmetry-distinct sites (fractional):
Hg 0.0000 0.0000 0.0000
Hg 0.2500 0.2500 0.5000
Sb 0.0000 0.5000 0.5000
Se 0.1874 0.0000 0.1688
F 0.0714 0.3155 0.7192
F 0.0874 0.5000 0.2811

## Hg2SbSeF (PBE)

Data for crystalline Hg2SbSeF at its relaxed geometry.

## Properties
- DOS at the Fermi energy: 0.5845 states/eV per atom
- Crystal system: tetragonal
- Formation energy from raw total energies: 0.035 eV/atom

a = 5.3714 Å, b = 5.3714 Å, c = 4.1879 Å
α = 90.00°, β = 90.00°, γ = 90.00°
Space group P4/mmm (No. 123)
Symmetry-distinct sites (fractional):
Hg 0.0000 0.5000 0.0000
Sb 0.0000 0.0000 0.5000
Se 0.5000 0.5000 0.5000
F 0.5000 0.5000 0.0000

## HgSbSeF2 (PBE)

Data for crystalline HgSbSeF2 at its relaxed geometry.

## Properties
- DOS at the Fermi energy: 0.1470 states/eV per atom
- Crystal system: tetragonal
- Formation energy from raw total energies: -1.186 eV/atom

a = 4.4010 Å, b = 4.4010 Å, c = 5.7468 Å
α = 90.00°, β = 90.00°, γ = 90.00°
Space group P4/mmm (No. 123)
Symmetry-distinct sites (fractional):
Hg 0.0000 0.0000 0.0000
Sb 0.5000 0.5000 0.5000
Se 0.5000 0.5000 0.0000
F 0.0000 0.5000 0.5000

## HgSbTe2F (PBE)

Data for crystalline HgSbTe2F at its relaxed geometry.

## Properties
- Energy relative to the lowest polymorph listed for this composition: 534.3 meV per atom
- DOS at the Fermi energy: 1.4303 states/eV per atom
- Crystal system: tetragonal
- Formation energy from raw total energies: 0.514 eV/atom

a = 5.5813 Å, b = 5.5813 Å, c = 5.6165 Å
α = 90.00°, β = 90.00°, γ = 90.00°
Space group P4/mmm (No. 123)
Symmetry-distinct sites (fractional):
Hg 0.0000 0.0000 0.0000
Sb 0.0000 0.0000 0.5000
Te 0.0000 0.5000 0.0000
F 0.5000 0.5000 0.5000

## HgSbTe2F (PBE)

Data for crystalline HgSbTe2F at its relaxed geometry.

## Properties
- Energy relative to the lowest polymorph listed for this composition: 0.0 meV per atom
- DOS at the Fermi energy: 0.5145 states/eV per atom
- Crystal system: tetragonal
- Formation energy from raw total energies: -0.021 eV/atom

a = 5.5244 Å, b = 5.5244 Å, c = 4.4021 Å
α = 90.00°, β = 90.00°, γ = 90.00°
Space group P4/mmm (No. 123)
Symmetry-distinct sites (fractional):
Hg 0.0000 0.0000 0.0000
Sb 0.5000 0.5000 0.0000
Te 0.0000 0.5000 0.5000
F 0.5000 0.5000 0.5000

## HgSbTeF2 (PBE)

Data for crystalline HgSbTeF2 at its relaxed geometry.

## Properties
- DOS at the Fermi energy: 0.3246 states/eV per atom
- Crystal system: tetragonal
- Formation energy from raw total energies: -1.162 eV/atom

a = 4.4512 Å, b = 4.4512 Å, c = 6.1406 Å
α = 90.00°, β = 90.00°, γ = 90.00°
Space group P4/mmm (No. 123)
Symmetry-distinct sites (fractional):
Hg 0.0000 0.0000 0.0000
Sb 0.5000 0.5000 0.5000
Te 0.5000 0.5000 0.0000
F 0.0000 0.5000 0.5000

## Hg2SbTeF (PBE)

Data for crystalline Hg2SbTeF at its relaxed geometry.

## Properties
- DOS at the Fermi energy: 0.6043 states/eV per atom
- Crystal system: tetragonal
- Formation energy from raw total energies: -0.425 eV/atom

a = 5.6638 Å, b = 5.6638 Å, c = 4.2909 Å
α = 90.00°, β = 90.00°, γ = 90.00°
Space group P4/mmm (No. 123)
Symmetry-distinct sites (fractional):
Hg 0.0000 0.5000 0.0000
Sb 0.0000 0.0000 0.0000
Te 0.5000 0.5000 0.5000
F 0.0000 0.0000 0.5000

## TiHgSbF2 (PBE)

Data for crystalline TiHgSbF2 at its relaxed geometry.

## Properties
- DOS at the Fermi energy: 0.7288 states/eV per atom
- Crystal system: tetragonal
- Formation energy from raw total energies: -1.684 eV/atom

a = 4.0803 Å, b = 4.0803 Å, c = 5.8172 Å
α = 90.00°, β = 90.00°, γ = 90.00°
Space group P4/mmm (No. 123)
Symmetry-distinct sites (fractional):
Ti 0.0000 0.0000 0.0000
Hg 0.5000 0.5000 0.5000
Sb 0.0000 0.0000 0.5000
F 0.0000 0.5000 0.0000

## TlHg2SbF (PBE)

Data for crystalline TlHg2SbF at its relaxed geometry.

## Properties
- DOS at the Fermi energy: 0.5510 states/eV per atom
- Crystal system: tetragonal
- Formation energy from raw total energies: -0.437 eV/atom

a = 5.8820 Å, b = 5.8820 Å, c = 4.3854 Å
α = 90.00°, β = 90.00°, γ = 90.00°
Space group P4/mmm (No. 123)
Symmetry-distinct sites (fractional):
Tl 0.0000 0.0000 0.0000
Hg 0.0000 0.5000 0.5000
Sb 0.5000 0.5000 0.5000
F 0.5000 0.5000 0.0000

## YHgSbF2 (PBE)

Data for crystalline YHgSbF2 at its relaxed geometry.

## Properties
- DOS at the Fermi energy: 0.5187 states/eV per atom
- Crystal system: tetragonal
- Formation energy from raw total energies: -2.230 eV/atom

a = 4.3417 Å, b = 4.3417 Å, c = 6.4682 Å
α = 90.00°, β = 90.00°, γ = 90.00°
Space group P4/mmm (No. 123)
Symmetry-distinct sites (fractional):
Y 0.0000 0.0000 0.0000
Hg 0.5000 0.5000 0.5000
Sb 0.0000 0.0000 0.5000
F 0.0000 0.5000 0.0000

## ZnHg2SbF6 (PBE)

Data for crystalline ZnHg2SbF6 at its relaxed geometry.

## Properties
- DOS at the Fermi energy: 0.6790 states/eV per atom
- Crystal system: orthorhombic
- Formation energy from raw total energies: -1.657 eV/atom

a = 6.1443 Å, b = 6.1553 Å, c = 8.6967 Å
α = 90.00°, β = 90.00°, γ = 90.00°
Space group Immm (No. 71)
Symmetry-distinct sites (fractional):
Zn 0.0000 0.0000 0.0000
Hg 0.0000 0.5000 0.2499
Sb 0.0000 0.0000 0.5000
F 0.0000 0.0000 0.2416
F 0.2419 0.2414 0.0000

## ScHg2F (PBE)

Data for crystalline ScHg2F at its relaxed geometry.

## Properties
- Energy relative to the lowest polymorph listed for this composition: 0.0 meV per atom
- DOS at the Fermi energy: 0.3540 states/eV per atom
- Crystal system: tetragonal
- Formation energy from raw total energies: -1.004 eV/atom

a = 10.0387 Å, b = 10.0387 Å, c = 4.0121 Å
α = 90.00°, β = 90.00°, γ = 90.00°
Space group I-42d (No. 122)
Symmetry-distinct sites (fractional):
Sc 0.0000 0.0000 0.0000
Hg 0.1399 0.2500 0.6250
F 0.0000 0.0000 0.5000